Entry from Alexandria: a relaxed structure of NaNbCoPd2 (PBE).

Cell: 4.384 4.384 4.850 Å, 90.00 90.00 90.00°
Atoms (fractional coordinates):
Na 0.000 0.000 0.000
Nb 0.000 0.000 0.500
Co 0.500 0.500 0.500
Pd 0.000 0.500 0.000
Pd 0.500 0.000 0.000

**Formation energy**: 171.6 kJ/mol of atoms
**Total DFT energy (no corrections)**: -4.00 eV per atom
**Space-group type**: P4/mmm, No. 123
**Calculated density**: 6.91 g/cm³